Here is an optimized crystal structure of TaTc2Ir from Alexandria. Energies are from PBE.

Values from the calculation:
As for the density of states at the Fermi level: 3.0 states/eV per cell. The density is 15.23 Mg/m³. The space-group type is P4/mmm, No. 123. For the energy above the lowest structure with this stoichiometry, the calculation gives 209 meV/atom. The energy relative to the elements comes out at -52 meV per atom.

Cell: 2.7537 2.7537 8.1847 Å, 90.00 90.00 90.04°
Sites, in units of the cell vectors:
Ir: 0.5000 0.5000 0.2500
Ta: 0.5000 0.5000 0.7500
Tc: 0.0000 0.0000 0.0165
Tc: 0.0000 0.0000 0.4835